(1)
Computed, not measured: a geometry-optimized Er2GaCoI2 structure at the PBE-GGA level of DFT.

## Properties
raw total energy: -4.62 eV/atom
total magnetization: 0.001 μB per cell

a b c (Å): 4.1233 4.1233 12.1246
angles (deg): 90.00 90.00 120.00
Last column: nearest neighbours and their distance in Å.
Element x y z (fractional)
1 Co 0.0000 0.0000 0.0000  3 Ga 2.38
2 Er 0.3333 0.6667 0.1476  3 Ga 2.97, 3 Co 2.98, 3 I 3.17
3 Er 0.3333 0.6667 0.8516  3 Co 2.98, 3 Ga 2.99, 3 I 3.17
4 Ga 0.6667 0.3333 0.0013  3 Co 2.38
5 I 0.0000 0.0000 0.3206  3 Er 3.17
6 I 0.6667 0.3333 0.6789  3 Er 3.17

---

(2)
Computed, not measured: a geometry-optimized PrAuSO structure at the PBE-GGA level of DFT.

## Properties
energy relative to the lowest polymorph listed for this composition: 464 meV per atom
total magnetization: 0.000 μB per cell

a b c (Å): 4.1397 5.7178 6.7008
angles (deg): 90.00 90.00 90.00
Last column: nearest neighbours and their distance in Å.
Element x y z (fractional)
1 Au 0.0000 0.1790 0.0721  2 O 2.33, 1 S 2.45
2 Au 0.0000 0.8210 0.5721  2 O 2.33, 1 S 2.45
3 O 0.5000 0.0459 0.1829  2 Pr 2.27-2.30, 2 Au 2.33
4 O 0.5000 0.9541 0.6829  2 Pr 2.27-2.30, 2 Au 2.33
5 Pr 0.5000 0.2645 0.4710  2 O 2.27-2.30
6 Pr 0.5000 0.7355 0.9710  2 O 2.27-2.30
7 S 0.0000 0.5877 0.2650  2 Au 2.45-2.67
8 S 0.0000 0.4123 0.7650  2 Au 2.45-2.67

---

(3)
Computed, not measured: a geometry-optimized YErIn4Pd2 structure at the PBE-GGA level of DFT.

## Properties
raw total energy: -4.69 eV/atom
total magnetization: 0.032 μB per cell

a b c (Å): 7.5139 5.7424 5.7424
angles (deg): 45.93 90.00 90.00
Last column: nearest neighbours and their distance in Å.
Element x y z (fractional)
1 Er 0.0000 0.0732 0.0732  3 Pd 3.00-3.20, 4 In 3.24
2 In 0.2006 0.3629 0.3629  3 Pd 2.76-2.81, 2 In 2.99-3.01
3 In 0.7994 0.3629 0.3629  3 Pd 2.76-2.81, 2 In 2.99-3.01
4 In 0.2990 0.6371 0.6371  3 Pd 2.76-2.81, 2 In 2.99-3.02
5 In 0.7010 0.6371 0.6371  3 Pd 2.76-2.81, 2 In 2.99-3.02
6 Pd 0.5000 0.2110 0.2110  6 In 2.76-2.81, 1 Y 3.01
7 Pd 0.0000 0.7893 0.7893  6 In 2.76-2.81, 1 Er 3.00
8 Y 0.5000 0.9266 0.9266  3 Pd 3.01-3.20, 4 In 3.25